Here is a relaxed ScFeSb crystal from Alexandria via LeMat-Bulk. Energies are from PBE.

Results
Electronic total energy in eV per formula unit: -20.2
Total magnetization in μB per cell: 3.2
Volume in A^3/atom: 18.62
E_form (uncorrected) in eV/atom: -0.441

Unit cell a=4.3880 b=4.3880 c=6.7016 alpha=90.00 beta=90.00 gamma=120.00
With the nearest neighbours (Å) after each atom.
Space group P6_3mc (No. 186)
One atom of each set of equivalent atoms:
Sc  0.0000  0.0000  0.0000 x2  3 Fe 2.79, 6 Sb 2.97-3.11
Fe  0.3333  0.6667  0.3268 x2  4 Sb 2.61-2.70, 3 Sc 2.79
Sb  0.3333  0.6667  0.7301 x2  4 Fe 2.61-2.70



Here is a relaxed LiTlZnGe crystal from Alexandria via LeMat-Bulk. Energies are from PBE.

Results
Electronic total energy in eV per formula unit: -9.9
Offset from the most stable computed form in meV/atom: 141.8
Total magnetization in μB per cell: 0.0
E_form in eV/atom: 0.07
Volume in A^3/atom: 20.43

Unit cell a=2.9735 b=3.0714 c=9.1800 alpha=98.92 beta=99.27 gamma=90.01
With the nearest neighbours (Å) after each atom.
Space group P1 (No. 1)
One atom of each set of equivalent atoms:
Li  0.0000  0.0000  0.0000 x1  4 Zn 2.75-2.77, 4 Ge 2.80-2.82, 4 Li 2.97-3.07
Tl  0.7242  0.7864  0.5332 x1  1 Ge 2.95, 4 Tl 2.97-3.07, 4 Zn 3.18-3.30
Zn  0.4004  0.4070  0.8051 x1  4 Li 2.75-2.77, 4 Zn 2.97-3.07
Ge  0.6040  0.5966  0.2039 x1  4 Li 2.80-2.82, 1 Tl 2.95, 4 Ge 2.97-3.07



Here is a relaxed HPdPt2 crystal from Alexandria via LeMat-Bulk. Energies are from PBE.

Results
Electronic total energy in eV per formula unit: -20.6
Offset from the most stable computed form in meV/atom: 0.0
Total magnetization in μB per cell: 0.0
Volume in A^3/atom: 12.36

Unit cell a=4.0901 b=4.0749 c=6.2623 alpha=90.00 beta=108.73 gamma=90.00
With the nearest neighbours (Å) after each atom.
Space group Cm (No. 8)
One atom of each set of equivalent atoms:
H  0.0000  0.0000  0.0000 x2  1 Pt 1.77, 1 Pd 1.97
Pd  0.9997  0.5000  0.0501 x2  4 H 1.97-2.17
Pt  0.1660  0.0000  0.3842 x2  1 H 2.28
Pt  0.3250  0.5000  0.7027 x2  1 H 1.77



Here is a relaxed LiPmPaOs crystal from Alexandria via LeMat-Bulk. Energies are from PBE.

Results
Electronic total energy in eV per formula unit: -27.3
Total magnetization in μB per cell: 0.0
E_form in eV/atom: 0.03
Volume in A^3/atom: 21.45

Unit cell a=7.0012 b=7.0012 c=7.0012 alpha=90.00 beta=90.00 gamma=90.00
With the nearest neighbours (Å) after each atom.
Space group F-43m (No. 216)
One atom of each set of equivalent atoms:
Li  0.0000  0.0000  0.0000 x4  4 Pa 3.03, 4 Pm 3.03
Pm  0.2500  0.2500  0.7500 x4  4 Li 3.03, 4 Os 3.03
Pa  0.2500  0.2500  0.2500 x4  4 Os 3.03, 4 Li 3.03
Os  0.0000  0.0000  0.5000 x4  4 Pm 3.03, 4 Pa 3.03



Here is a relaxed RbCd3P2 crystal from Alexandria via LeMat-Bulk. Energies are from PBE.

Results
Electronic total energy in eV per formula unit: -15.5
Total magnetization in μB per cell: 0.0
E_form in eV/atom: -0.15
Volume in A^3/atom: 27.68

Unit cell a=17.1196 b=4.3796 c=10.4097 alpha=90.00 beta=121.66 gamma=90.00
With the nearest neighbours (Å) after each atom.
Space group C2/m (No. 12)
One atom of each set of equivalent atoms:
Rb  0.1306  0.0000  0.0418 x4  7 P 3.52-3.91, 2 Cd 3.80
Cd  0.0786  0.0000  0.4067 x4  3 P 2.67-2.71
Cd  0.0962  0.5000  0.7001 x4  3 P 2.54-2.60
Cd  0.2108  0.5000  0.3880 x4  2 P 2.62-2.65
P  0.0312  0.5000  0.2344 x4  4 Cd 2.60-2.67
P  0.1751  0.0000  0.7121 x4  4 Cd 2.54-2.71



Here is a relaxed LiMnGe2Au crystal from Alexandria via LeMat-Bulk. Energies are from PBE.

Results
Electronic total energy in eV per formula unit: -21.0
Total magnetization in μB per cell: 4.3
E_form in eV/atom: 0.53
Volume in A^3/atom: 22.79

Unit cell a=4.9807 b=4.9807 c=4.5925 alpha=90.00 beta=90.00 gamma=90.00
With the nearest neighbours (Å) after each atom.
Space group P4/mmm (No. 123)
One atom of each set of equivalent atoms:
Li  0.0000  0.0000  0.0000 x1  2 Au 2.30
Mn  0.5000  0.5000  0.0000 x1  8 Ge 3.39, 4 Li 3.52
Ge  0.0000  0.5000  0.5000 x2  2 Au 2.49
Au  0.0000  0.0000  0.5000 x1  2 Li 2.30, 4 Ge 2.49



Here is a relaxed Ba2TeAsS crystal from Alexandria via LeMat-Bulk. Energies are from PBE.

Results
Electronic total energy in eV per formula unit: -18.4
Total magnetization in μB per cell: 0.0
Volume in A^3/atom: 43.08
E_form (uncorrected) in eV/atom: -0.525

Unit cell a=6.5094 b=6.5094 c=5.0836 alpha=90.00 beta=90.00 gamma=90.00
With the nearest neighbours (Å) after each atom.
Space group P4/mmm (No. 123)
One atom of each set of equivalent atoms:
Ba  0.0000  0.5000  0.0000 x2  2 Te 3.25
Te  0.0000  0.0000  0.0000 x1  2 As 2.54
As  0.0000  0.0000  0.5000 x1  2 Te 2.54
S  0.5000  0.5000  0.5000 x1  8 Ba 4.13, 4 As 4.60



Here is a relaxed Ce2DySi3Pt4 crystal from Alexandria via LeMat-Bulk. Energies are from PBE.

Results
Electronic total energy in eV per formula unit: -67.2
Total magnetization in μB per cell: 1.1
Volume in A^3/atom: 19.62
E_form (uncorrected) in eV/atom: -1.029

Unit cell a=4.2337 b=4.2337 c=10.9478 alpha=90.00 beta=90.00 gamma=90.00
With the nearest neighbours (Å) after each atom.
Space group P-4m2 (No. 115)
One atom of each set of equivalent atoms:
Ce  0.0000  0.5000  0.2279 x2  4 Si 3.22, 8 Pt 3.23-3.27
Dy  0.0000  0.0000  0.5000 x1  4 Pt 2.76, 4 Si 2.99
Si  0.0000  0.5000  0.8808 x2  5 Pt 2.40-2.49
Si  0.5000  0.5000  0.5000 x1  4 Pt 2.76, 4 Dy 2.99
Pt  0.0000  0.0000  0.0000 x1  4 Si 2.49
Pt  0.0000  0.5000  0.6618 x2  1 Si 2.40
Pt  0.5000  0.5000  0.0000 x1  4 Si 2.49



Here is a relaxed BaTc2Au crystal from Alexandria via LeMat-Bulk. Energies are from PBE.

Results
Electronic total energy in eV per formula unit: -23.7
Offset from the most stable computed form in meV/atom: 306.9
Total magnetization in μB per cell: 0.0
E_form in eV/atom: 0.55
Volume in A^3/atom: 26.38

Unit cell a=3.8442 b=4.9474 c=5.6307 alpha=90.00 beta=99.84 gamma=90.00
With the nearest neighbours (Å) after each atom.
Space group P2/m (No. 10)
One atom of each set of equivalent atoms:
Ba  0.0000  0.0000  0.0000 x1  2 Au 3.13
Tc  0.2697  0.5000  0.6183 x2  2 Tc 2.26-2.39
Au  0.5000  0.0000  0.5000 x1  4 Tc 2.75



Here is a relaxed Si2AsCl crystal from Alexandria via LeMat-Bulk. Energies are from PBE.

Results
Electronic total energy in eV per formula unit: -15.1
Offset from the most stable computed form in meV/atom: 605.5
Total magnetization in μB per cell: 0.0
Volume in A^3/atom: 18.08
E_form (uncorrected) in eV/atom: 0.555

Unit cell a=2.9313 b=4.9263 c=5.0080 alpha=90.00 beta=90.00 gamma=90.00
With the nearest neighbours (Å) after each atom.
Space group Pmmm (No. 47)
One atom of each set of equivalent atoms:
Si  0.0000  0.0000  0.0000 x1  6 Si 2.87-2.93, 4 Cl 2.90
Si  0.5000  0.5000  0.0000 x1  6 Si 2.87-2.93, 4 As 2.90
As  0.0000  0.5000  0.5000 x1  4 Cl 2.87, 4 Si 2.90, 2 As 2.93
Cl  0.5000  0.0000  0.5000 x1  4 As 2.87, 4 Si 2.90, 2 Cl 2.93



Here is a relaxed NdLuPt crystal from Alexandria via LeMat-Bulk. Energies are from PBE.

Results
Electronic total energy in eV per formula unit: -17.8
Offset from the most stable computed form in meV/atom: 0.0
Total magnetization in μB per cell: 0.0
E_form in eV/atom: -0.82
Volume in A^3/atom: 27.78

Unit cell a=6.9334 b=6.9334 c=6.9334 alpha=90.00 beta=90.00 gamma=90.00
With the nearest neighbours (Å) after each atom.
Space group F-43m (No. 216)
One atom of each set of equivalent atoms:
Nd  0.0000  0.0000  0.0000 x4  4 Pt 3.00
Lu  0.0000  0.0000  0.5000 x4  4 Pt 3.00
Pt  0.2500  0.2500  0.2500 x4  4 Nd 3.00, 4 Lu 3.00



Here is a relaxed FeN2Cl crystal from Alexandria via LeMat-Bulk. Energies are from PBE.

Results
Electronic total energy in eV per formula unit: -24.1
Offset from the most stable computed form in meV/atom: 0.0
Total magnetization in μB per cell: 6.9
Volume in A^3/atom: 10.99
E_form (uncorrected) in eV/atom: 0.717

Unit cell a=2.9639 b=2.9639 c=17.3321 alpha=90.00 beta=90.00 gamma=120.00
With the nearest neighbours (Å) after each atom.
Space group R-3m (No. 166, hexagonal axes)
One atom of each set of equivalent atoms:
Fe  0.0000  0.0000  0.0000 x3  6 N 1.97
N  0.0000  0.0000  0.3897 x6  1 Cl 1.91, 3 Fe 1.97
Cl  0.0000  0.0000  0.5000 x3  2 N 1.91



Question: Among the records above, which one has the highest volume?
Answer: Ba2TeAsS



Question: Look up the total magnetization of the second one.
Answer: 0.0 μB per cell



Question: Look up the electronic total energy of the seventh one.
Answer: -18.4 eV per formula unit